Li2LaCr after structural relaxation. Source: the Alexandria database, functional PBE-GGA.

Geometry as POSCAR:
```
Li2LaCr
1.0
3.2367 0.0000 0.0000
0.0000 5.1893 0.0000
-0.7228 0.0000 5.4035
Li La Cr
2 1 1
direct
0.2042 0.0000 0.2959
0.7958 0.0000 0.7041
0.5000 0.5000 0.0000
0.0000 0.5000 0.5000
```

The formation energy from the elements comes out at 395.2 meV/atom. Its total DFT energy (no corrections) is -16.80 eV/cell. The value obtained for the spin magnetization is 3.61 μB/cell. The calculation puts the calculated density at 3.75 g/cm3. For the calculated volume, the calculation gives 22.690 Å³/atom. Its energy above the most stable polymorph in this dataset is 4.2 kJ per mole of atoms.



Pm5Nd3Ho3 after structural relaxation. Source: the Alexandria database, functional PBE-GGA.

Geometry as POSCAR:
```
Pm5Nd3Ho3
1.0
11.3646 0.0000 0.0000
-5.6823 9.8421 0.0000
0.0000 0.0000 3.4638
Pm Nd Ho
5 3 3
direct
0.0000 0.6627 0.0000
0.3333 0.6667 0.0000
0.3373 0.3373 0.0000
0.6627 0.0000 0.0000
0.6667 0.3333 0.0000
0.0000 0.4030 0.5000
0.4030 0.0000 0.5000
0.5970 0.5970 0.5000
0.0000 0.1588 0.0000
0.1588 0.0000 0.0000
0.8412 0.8412 0.0000
```

The formation energy from the elements comes out at 323.0 meV/atom. Its total DFT energy (no corrections) is -48.24 eV/cell. The value obtained for the spin magnetization is 0.00 μB/cell. The calculation puts the calculated density at 7.08 g/cm3. For the calculated volume, the calculation gives 35.221 Å³/atom. Its energy above the most stable polymorph in this dataset is 0.0 kJ per mole of atoms.